DFT (GGA-PBE) results for an optimized crystal structure of SrGa2SbSe6.

a = 7.9078 Å, b = 9.1367 Å, c = 9.1367 Å
α = 76.84°, β = 71.07°, γ = 71.07°
Closest atoms and distances in Å follow each position.
Positions (direct):
Se  0.3479  0.1714  0.0326  1 Ga 2.49, 1 Sb 2.65
Se  0.8929  0.3821  0.9414  1 Ga 2.41
Se  0.5559  0.5732  0.7105  2 Ga 2.45-2.51
Se  0.8479  0.0326  0.1714  1 Ga 2.49, 1 Sb 2.65
Se  0.6521  0.8286  0.9674  1 Ga 2.49, 1 Sb 2.65
Se  0.1521  0.9674  0.8286  1 Ga 2.49, 1 Sb 2.65
Se  0.1071  0.6179  0.0586  1 Ga 2.41
Se  0.9441  0.2895  0.4268  2 Ga 2.45-2.51
Se  0.0559  0.7105  0.5732  2 Ga 2.45-2.51
Se  0.4441  0.4268  0.2895  2 Ga 2.45-2.51
Se  0.3929  0.9414  0.3821  1 Ga 2.41
Se  0.6071  0.0586  0.6179  1 Ga 2.41
Ga  0.6950  0.2155  0.3701  4 Se 2.41-2.51
Ga  0.8050  0.6299  0.7845  4 Se 2.41-2.51
Ga  0.3050  0.7845  0.6299  4 Se 2.41-2.51
Ga  0.1950  0.3701  0.2155  4 Se 2.41-2.51
Sb  0.7500  0.7693  0.2307  4 Se 2.65-2.82
Sb  0.2500  0.2307  0.7693  4 Se 2.65-2.82
Sr  0.2500  0.8287  0.1713  6 Se 3.02-3.34
Sr  0.7500  0.1713  0.8287  6 Se 3.02-3.34

Calculated values
Its formation energy from raw total energies is -638.8 meV/atom. As for the total DFT energy (no corrections): -3.92 eV per atom. For the total magnetic moment, the calculation gives 0.00 μB/f.u. The density of states at the Fermi level is 12.43 states/eV per cell.